Record 1
# Ac2PrGe4Pt3

A relaxed structure of Ac2PrGe4Pt3 (PBE, Alexandria).

Properties
As for the electronic total energy: -5.840 eV/atom. Its formation energy is -882 meV/atom. As for the density: 10.62 Mg/m³.

Structure (CIF):
```
data_Ac2PrGe4Pt3
_cell_length_a 4.474
_cell_length_b 4.474
_cell_length_c 11.486
_cell_angle_alpha 90.00
_cell_angle_beta 90.00
_cell_angle_gamma 90.00
_space_group_name_H-M_alt 'P -4 m 2'
_space_group_IT_number 115
loop_
_space_group_symop_operation_xyz
'x,y,z'
'y,-x,-z'
'-x,-y,z'
'-y,x,-z'
'-x,y,z'
'-y,-x,-z'
'x,-y,z'
'y,x,-z'
loop_
_atom_site_label
_atom_site_type_symbol
_atom_site_fract_x
_atom_site_fract_y
_atom_site_fract_z
Ac1 Ac 0.000 0.500 0.227
Pr1 Pr 0.000 0.000 0.500
Ge1 Ge 0.000 0.000 0.000
Ge2 Ge 0.000 0.500 0.668
Ge3 Ge 0.500 0.500 0.000
Pt1 Pt 0.000 0.500 0.889
Pt2 Pt 0.500 0.500 0.500
```

=====

Record 2
# Nb2CoNi2

A relaxed structure of Nb2CoNi2 (PBE, Alexandria).

Properties
As for the electronic total energy: -7.531 eV/atom. Its energy above the most stable polymorph in this dataset is 0.299 eV per atom. Its formation energy is 231 meV/atom. As for the density: 8.09 Mg/m³.

Structure (CIF):
```
data_Nb2CoNi2
_cell_length_a 7.389
_cell_length_b 7.389
_cell_length_c 2.723
_cell_angle_alpha 90.00
_cell_angle_beta 90.00
_cell_angle_gamma 90.00
_space_group_name_H-M_alt 'P 4/m b m'
_space_group_IT_number 127
_space_group_name_Hall '-P 4 2ab'
loop_
_atom_site_label
_atom_site_type_symbol
_atom_site_fract_x
_atom_site_fract_y
_atom_site_fract_z
Nb1 Nb 0.171 0.329 0.000
Co1 Co 0.000 0.000 0.000
Ni1 Ni 0.123 0.623 0.500
```

=====

Record 3
# K2HgPt

A relaxed structure of K2HgPt (PBE, Alexandria).

Properties
As for the electronic total energy: -2.137 eV/atom. Its formation energy is -2 meV/atom. As for the density: 6.90 Mg/m³.

Structure (CIF):
```
data_K2HgPt
_cell_length_a 5.937
_cell_length_b 8.503
_cell_length_c 4.517
_cell_angle_alpha 90.00
_cell_angle_beta 90.00
_cell_angle_gamma 90.00
_space_group_name_H-M_alt 'C m m m'
_space_group_IT_number 65
_space_group_name_Hall '-C 2 2'
loop_
_atom_site_label
_atom_site_type_symbol
_atom_site_fract_x
_atom_site_fract_y
_atom_site_fract_z
K1 K 0.250 0.250 0.000
Hg1 Hg 0.000 0.000 0.500
Pt1 Pt 0.000 0.500 0.500
```

=====

Record 4
# SrLaBe4

A relaxed structure of SrLaBe4 (PBE, Alexandria).

Properties
As for the electronic total energy: -3.199 eV/atom. Its formation energy is 387 meV/atom. As for the density: 4.01 Mg/m³.

Structure (CIF):
```
data_SrLaBe4
_cell_length_a 7.577
_cell_length_b 7.577
_cell_length_c 7.577
_cell_angle_alpha 90.00
_cell_angle_beta 90.00
_cell_angle_gamma 90.00
_space_group_name_H-M_alt 'F -4 3 m'
_space_group_IT_number 216
_space_group_name_Hall 'F -4 2 3'
loop_
_atom_site_label
_atom_site_type_symbol
_atom_site_fract_x
_atom_site_fract_y
_atom_site_fract_z
Sr1 Sr 0.000 0.000 0.000
La1 La 0.250 0.250 0.250
Be1 Be 0.108 0.108 0.608
```

=====

Record 5
# CdSiW2

A relaxed structure of CdSiW2 (PBE, Alexandria).

Properties
Its uncorrected formation energy is 0.52 eV/atom. As for the electronic total energy: -7.545 eV/atom. Its energy above the most stable polymorph in this dataset is 0.157 eV per atom. As for the density: 12.99 Mg/m³.

Structure (CIF):
```
data_CdSiW2
_cell_length_a 3.302
_cell_length_b 4.495
_cell_length_c 8.755
_cell_angle_alpha 90.00
_cell_angle_beta 90.00
_cell_angle_gamma 90.00
_space_group_name_H-M_alt 'I m m 2'
_space_group_IT_number 44
loop_
_space_group_symop_operation_xyz
'x,y,z'
'-x,-y,z'
'-x,y,z'
'x,-y,z'
'x+1/2,y+1/2,z+1/2'
'-x+1/2,-y+1/2,z+1/2'
'-x+1/2,y+1/2,z+1/2'
'x+1/2,-y+1/2,z+1/2'
loop_
_atom_site_label
_atom_site_type_symbol
_atom_site_fract_x
_atom_site_fract_y
_atom_site_fract_z
Cd1 Cd 0.000 0.000 0.000
Si1 Si 0.000 0.500 0.756
W1 W 0.000 0.000 0.483
W2 W 0.000 0.500 0.226
```

=====

Record 6
# Gd3InH

A relaxed structure of Gd3InH (PBE, Alexandria).

Properties
As for the electronic total energy: -10.079 eV/atom. As for the density: 8.35 Mg/m³.

Structure (CIF):
```
data_Gd3InH
_cell_length_a 4.889
_cell_length_b 4.889
_cell_length_c 4.889
_cell_angle_alpha 90.00
_cell_angle_beta 90.00
_cell_angle_gamma 90.00
_space_group_name_H-M_alt 'P m -3 m'
_space_group_IT_number 221
_space_group_name_Hall '-P 4 2 3'
loop_
_atom_site_label
_atom_site_type_symbol
_atom_site_fract_x
_atom_site_fract_y
_atom_site_fract_z
Gd1 Gd 0.000 0.000 0.500
In1 In 0.500 0.500 0.500
H1 H 0.000 0.000 0.000
```

=====

Record 7
# U2TcNi

A relaxed structure of U2TcNi (PBE, Alexandria).

Properties
As for the electronic total energy: -9.601 eV/atom. Its formation energy is 80 meV/atom. As for the density: 14.72 Mg/m³.

Structure (CIF):
```
data_U2TcNi
_cell_length_a 3.354
_cell_length_b 3.354
_cell_length_c 6.344
_cell_angle_alpha 90.00
_cell_angle_beta 90.00
_cell_angle_gamma 90.00
_space_group_name_H-M_alt 'P 4/m m m'
_space_group_IT_number 123
_space_group_name_Hall '-P 4 2'
loop_
_atom_site_label
_atom_site_type_symbol
_atom_site_fract_x
_atom_site_fract_y
_atom_site_fract_z
U1 U 0.000 0.000 0.223
Tc1 Tc 0.500 0.500 0.500
Ni1 Ni 0.500 0.500 0.000
```

=====

Record 8
# Tb7Te2Pd2

A relaxed structure of Tb7Te2Pd2 (PBE, Alexandria).

Properties
Its uncorrected formation energy is -0.84 eV/atom. As for the electronic total energy: -5.304 eV/atom. As for the density: 8.58 Mg/m³.

Structure (CIF):
```
data_Tb7Te2Pd2
_cell_length_a 3.963
_cell_length_b 15.915
_cell_length_c 9.699
_cell_angle_alpha 90.00
_cell_angle_beta 90.00
_cell_angle_gamma 90.00
_space_group_name_H-M_alt 'I m m 2'
_space_group_IT_number 44
loop_
_space_group_symop_operation_xyz
'x,y,z'
'-x,-y,z'
'-x,y,z'
'x,-y,z'
'x+1/2,y+1/2,z+1/2'
'-x+1/2,-y+1/2,z+1/2'
'-x+1/2,y+1/2,z+1/2'
'x+1/2,-y+1/2,z+1/2'
loop_
_atom_site_label
_atom_site_type_symbol
_atom_site_fract_x
_atom_site_fract_y
_atom_site_fract_z
Tb1 Tb 0.000 0.000 0.000
Tb2 Tb 0.000 0.129 0.584
Tb3 Tb 0.000 0.318 0.378
Tb4 Tb 0.000 0.357 0.736
Te1 Te 0.000 0.000 0.337
Te2 Te 0.000 0.500 0.236
Pd1 Pd 0.000 0.237 0.073
```

=====

Record 9
# Tl2ReW

A relaxed structure of Tl2ReW (PBE, Alexandria).

Properties
As for the electronic total energy: -6.368 eV/atom. Its energy above the most stable polymorph in this dataset is 0.624 eV per atom. Its formation energy is 1165 meV/atom. As for the density: 17.06 Mg/m³.

Structure (CIF):
```
data_Tl2ReW
_cell_length_a 3.0460
_cell_length_b 3.0460
_cell_length_c 28.2956
_cell_angle_alpha 90.00
_cell_angle_beta 90.00
_cell_angle_gamma 120.00
_space_group_name_H-M_alt 'R -3 m'
_space_group_IT_number 166
_space_group_name_Hall '-R 3 2"'
loop_
_atom_site_label
_atom_site_type_symbol
_atom_site_fract_x
_atom_site_fract_y
_atom_site_fract_z
Tl1 Tl 0.0000 0.0000 0.2484
Re1 Re 0.0000 0.0000 0.5000
W1 W 0.0000 0.0000 0.0000
```

=====

Record 10
# SrRe2Te

A relaxed structure of SrRe2Te (PBE, Alexandria).

Properties
Its uncorrected formation energy is 0.08 eV/atom. As for the electronic total energy: -7.349 eV/atom. As for the density: 9.49 Mg/m³.

Structure (CIF):
```
data_SrRe2Te
_cell_length_a 4.2410
_cell_length_b 4.2410
_cell_length_c 19.8031
_cell_angle_alpha 90.00
_cell_angle_beta 90.00
_cell_angle_gamma 120.00
_space_group_name_H-M_alt 'R 3 m'
_space_group_IT_number 160
_space_group_name_Hall 'R 3 -2"'
loop_
_atom_site_label
_atom_site_type_symbol
_atom_site_fract_x
_atom_site_fract_y
_atom_site_fract_z
Sr1 Sr 0.0000 0.0000 0.0000
Re1 Re 0.0000 0.0000 0.1987
Re2 Re 0.0000 0.0000 0.5557
Te1 Te 0.0000 0.0000 0.7948
```

=====

Record 11
# Nd2SmMoN4

A relaxed structure of Nd2SmMoN4 (PBE, Alexandria).

Properties
Its uncorrected formation energy is -0.95 eV/atom. As for the electronic total energy: -8.248 eV/atom. As for the density: 7.64 Mg/m³.

Structure (CIF):
```
data_Nd2SmMoN4
_cell_length_a 3.498
_cell_length_b 12.020
_cell_length_c 12.210
_cell_angle_alpha 90.00
_cell_angle_beta 90.00
_cell_angle_gamma 90.00
_space_group_name_H-M_alt 'C m c m'
_space_group_IT_number 63
_space_group_name_Hall '-C 2c 2'
loop_
_atom_site_label
_atom_site_type_symbol
_atom_site_fract_x
_atom_site_fract_y
_atom_site_fract_z
Nd1 Nd 0.000 0.132 0.038
Sm1 Sm 0.000 0.387 0.250
Mo1 Mo 0.000 0.347 0.750
N1 N 0.000 0.061 0.250
N2 N 0.000 0.232 0.636
N3 N 0.000 0.500 0.000
```

=====

Record 12
# Al2Ga2Pb

A relaxed structure of Al2Ga2Pb (PBE, Alexandria).

Properties
As for the electronic total energy: -3.394 eV/atom. Its energy above the most stable polymorph in this dataset is 0.000 eV per atom. Its formation energy is 55 meV/atom. As for the density: 6.32 Mg/m³.

Structure (CIF):
```
data_Al2Ga2Pb
_cell_length_a 4.327
_cell_length_b 4.327
_cell_length_c 11.243
_cell_angle_alpha 90.00
_cell_angle_beta 90.00
_cell_angle_gamma 90.00
_space_group_name_H-M_alt 'I 4/m m m'
_space_group_IT_number 139
_space_group_name_Hall '-I 4 2'
loop_
_atom_site_label
_atom_site_type_symbol
_atom_site_fract_x
_atom_site_fract_y
_atom_site_fract_z
Al1 Al 0.000 0.500 0.250
Ga1 Ga 0.000 0.000 0.112
Pb1 Pb 0.000 0.000 0.500
```